Material: AlP2Au
Method: DFT, GGA-PBE
State: optimized geometry

Geometry as POSCAR:
```
AlP2Au
1.0
3.638 0.000 0.000
0.000 3.639 0.000
0.000 0.000 5.127
P Au Al
2 1 1
Cartesian
0.000 0.000 4.486
1.819 1.819 1.923
1.819 1.819 4.486
0.000 0.000 1.922
```

density	7.0	g/cm³
calculated volume	67.9	Å³/cell
calculated formation energy	-66	meV per atom
Fermi-level density of states	1.8	states/eV/cell